Here is crystalline HfNiP at its relaxed geometry from the Open Quantum Materials Database. Energies are from PBE.

E_tot, eV/atom: -7.647

The structure in extended XYZ format:
```
6
Lattice="-4.050 1.624 7.490 -3.043 -1.856 7.902 -0.672 0.822 8.603" Properties=species:S:1:pos:R:3 pbc="T T T"
Hf -0.911 0.069 2.815
Hf -6.854 0.521 21.180
Ni -2.349 0.179 7.259
Ni -5.416 0.412 16.736
P -3.049 0.232 9.422
P -4.716 0.359 14.573
```


Here is crystalline NbZnIr2 at its relaxed geometry from the Open Quantum Materials Database. Energies are from PBE.

Energy of formation from the pure elements, kJ/mol of atoms: -1.52

The structure in extended XYZ format:
```
4
Lattice="-1.920 -3.603 -1.735 -4.284 0.104 -1.145 -1.153 -0.053 -4.283" Properties=species:S:1:pos:R:3 pbc="T T T"
Ir 0.000 0.000 0.000
Ir -5.517 -2.664 -5.373
Nb -3.678 -1.776 -3.582
Zn -1.839 -0.888 -1.791
```


Here is crystalline CuReBAu at its relaxed geometry from the Open Quantum Materials Database. Energies are from PBE.

ΔE to the lowest computed polymorph, meV/atom: 0.0

The structure in extended XYZ format:
```
4
Lattice="0.000 2.988 2.988 2.988 0.000 2.988 2.988 2.988 0.000" Properties=species:S:1:pos:R:3 pbc="T T T"
Au 2.988 2.988 2.988
B 0.000 0.000 0.000
Cu 4.481 4.481 4.481
Re 1.494 1.494 1.494
```


Here is crystalline TbSmB2Ir2O2 at its relaxed geometry from the Open Quantum Materials Database. Energies are from PBE.

E_tot, eV/atom: -7.926

The structure in extended XYZ format:
```
8
Lattice="3.830 0.000 0.000 0.000 3.830 0.000 0.000 0.000 7.331" Properties=species:S:1:pos:R:3 pbc="T T T"
B 0.000 0.000 2.557
B 1.915 1.915 4.778
Ir 1.915 0.000 3.679
Ir 0.000 1.915 3.679
O 0.000 0.000 1.019
O 1.915 1.915 6.297
Sm 1.915 1.915 1.343
Tb 0.000 0.000 5.969
```


Here is crystalline ZnInFe2 at its relaxed geometry from the Open Quantum Materials Database. Energies are from PBE.

E_tot, eV/atom: -4.929

The structure in extended XYZ format:
```
16
Lattice="6.151 0.000 0.000 0.000 6.151 0.000 0.000 0.000 6.151" Properties=species:S:1:pos:R:3 pbc="T T T"
Fe 1.671 1.671 1.671
Fe 4.480 1.671 1.671
Fe 1.671 4.480 1.671
Fe 4.480 4.480 1.671
Fe 1.671 1.671 4.480
Fe 4.480 1.671 4.480
Fe 1.671 4.480 4.480
Fe 4.480 4.480 4.480
In 0.000 0.000 0.000
In 3.076 0.000 0.000
In 0.000 3.076 0.000
In 0.000 0.000 3.076
Zn 3.076 3.076 0.000
Zn 3.076 0.000 3.076
Zn 0.000 3.076 3.076
Zn 3.076 3.076 3.076
```


Here is crystalline HfSbMo at its relaxed geometry from the Open Quantum Materials Database. Energies are from PBE.

E_tot, eV/atom: -7.865

The structure in extended XYZ format:
```
3
Lattice="3.041 -2.285 2.518 -1.416 -3.134 2.998 0.757 -4.427 -0.799" Properties=species:S:1:pos:R:3 pbc="T T T"
Hf 0.596 -2.462 1.179
Mo 1.787 -7.385 3.538
Sb 0.000 0.000 0.000
```